No. 1
Compound: Ac2Al3Ag
Source: the Alexandria database
Functional: GGA-PBE
Structure: optimized geometry

CIF file:
```
data_Ac2Al3Ag
_chemical_formula_sum 'Ac16 Al24 Ag8'
_symmetry_space_group_name_H-M 'F m m m'
_symmetry_Int_Tables_number 69
_symmetry_space_group_name_Hall '-F 2 2'
_cell_length_a 8.8820
_cell_length_b 9.3048
_cell_length_c 16.0695
_cell_angle_alpha 90.00
_cell_angle_beta 90.00
_cell_angle_gamma 90.00
loop_
_atom_site_label
_atom_site_type_symbol
_atom_site_fract_x
_atom_site_fract_y
_atom_site_fract_z
Ac1 Ac 0.2400 0.0000 0.0000
Ac2 Ac 0.2500 0.2500 0.2500
Al1 Al 0.0000 0.0000 0.3364
Al2 Al 0.0000 0.2438 0.4178
Ag1 Ag 0.0000 0.0000 0.1678
```

Results
Total moment: 0.00 μB per cell
Crystal system: orthorhombic
E_form: -0.352 eV/atom

No. 2
Compound: RbCrCuSi2
Source: the Alexandria database
Functional: GGA-PBE
Structure: optimized geometry

CIF file:
```
data_RbCrCuSi2
_chemical_formula_sum 'Rb1 Cr1 Cu1 Si2'
_symmetry_space_group_name_H-M 'P 4/m m m'
_symmetry_Int_Tables_number 123
_symmetry_space_group_name_Hall '-P 4 2'
_cell_length_a 4.6145
_cell_length_b 4.6145
_cell_length_c 5.5436
_cell_angle_alpha 90.00
_cell_angle_beta 90.00
_cell_angle_gamma 90.00
loop_
_atom_site_label
_atom_site_type_symbol
_atom_site_fract_x
_atom_site_fract_y
_atom_site_fract_z
Rb1 Rb 0.0000 0.0000 0.0000
Cr1 Cr 0.5000 0.5000 0.0000
Cu1 Cu 0.0000 0.0000 0.5000
Si1 Si 0.0000 0.5000 0.5000
```

Results
ΔE_f (raw): 1.00 eV per atom
Total moment: 4.21 μB per cell
Crystal system: tetragonal

No. 3
Compound: CuHgAs2
Source: the Alexandria database
Functional: GGA-PBE
Structure: optimized geometry

CIF file:
```
data_CuHgAs2
_chemical_formula_sum 'Cu2 Hg2 As4'
_symmetry_space_group_name_H-M 'C 1 2/m 1'
_symmetry_Int_Tables_number 12
_symmetry_space_group_name_Hall '-C 2y'
_cell_length_a 11.1637
_cell_length_b 2.7770
_cell_length_c 5.6149
_cell_angle_alpha 90.00
_cell_angle_beta 109.34
_cell_angle_gamma 90.00
loop_
_atom_site_label
_atom_site_type_symbol
_atom_site_fract_x
_atom_site_fract_y
_atom_site_fract_z
Cu1 Cu 0.0000 0.0000 0.0000
Hg1 Hg 0.0000 0.5000 0.5000
As1 As 0.2019 0.5000 0.1610
```

Results
Total moment: 0.00 μB per cell
Crystal system: monoclinic
E_form: 0.219 eV/atom